The following is a PBE calculation of TlSb2S4 after structural relaxation, from the Alexandria database.

Cell and atoms, written as CIF:
```
data_TlSb2S4
_chemical_formula_sum 'Tl4 Sb8 S16'
_cell_length_a 3.9895
_cell_length_b 12.9458
_cell_length_c 13.7574
_cell_angle_alpha 90.00
_cell_angle_beta 90.00
_cell_angle_gamma 90.00
_symmetry_space_group_name_H-M 'C m c m'
_symmetry_Int_Tables_number 63
_symmetry_space_group_name_Hall '-C 2c 2'
loop_
_atom_site_label
_atom_site_fract_x
_atom_site_fract_y
_atom_site_fract_z
Tl1 0.0000 0.0898 0.2500
Sb1 0.0000 0.3628 0.0673
S1 0.0000 0.0000 0.0000
S2 0.0000 0.2656 0.6069
S3 0.0000 0.4170 0.2500
```

Values from the calculation:
The calculation puts the energy relative to the elements, uncorrected at -205 meV per atom. The value obtained for the volume is 710.5 Å³/cell. As for the energy above the lowest structure with this stoichiometry: 13 kJ/mol of formula units. The calculation puts the mass density at 5386 kg/m3.